Entry 1:
Compound: CeBiRh2
Source: Alexandria
Functional: PBE-GGA
Structure: optimized geometry

a b c (Å): 3.538 3.538 6.662
angles (deg): 90.00 90.00 90.00
Element x y z (fractional)
1 Ce 0.000 0.000 0.000
2 Bi 0.000 0.000 0.500
3 Rh 0.500 0.500 0.224
4 Rh 0.500 0.500 0.776

Summary:
E_form = -409.3 meV/atom

***

Entry 2:
Compound: CdPSe2
Source: Alexandria
Functional: PBE-GGA
Structure: optimized geometry

a b c (Å): 4.842 4.842 4.842
angles (deg): 60.00 60.00 60.00
Element x y z (fractional)
1 Cd 0.000 0.000 0.000
2 P 0.500 0.500 0.500
3 Se 0.250 0.250 0.250
4 Se 0.750 0.750 0.750

Summary:
Raw formation energy = 0.42 eV/atom
Energy above the most stable polymorph in this dataset = 10.29 kcal/mol of atoms

***

Entry 3:
Compound: InCu2Os
Source: Alexandria
Functional: PBE-GGA
Structure: optimized geometry

a b c (Å): 2.774 2.774 8.911
angles (deg): 90.00 90.00 116.48
Element x y z (fractional)
1 In 0.000 0.000 0.000
2 Cu 0.000 0.000 0.486
3 Cu 0.500 0.500 0.264
4 Os 0.500 0.500 0.724

Summary:
E_form = 506.1 meV/atom

***

Entry 4:
Compound: RbUTcO6
Source: Alexandria
Functional: PBE-GGA
Structure: optimized geometry

a b c (Å): 7.597 7.597 7.597
angles (deg): 122.44 117.54 90.07
Element x y z (fractional)
1 Rb 0.365 0.115 0.250
2 Rb 0.635 0.885 0.750
3 U 0.000 0.500 0.500
4 U 0.500 0.500 0.000
5 Tc 0.000 0.000 0.500
6 Tc 0.000 0.500 0.000
7 O 0.040 0.790 0.250
8 O 0.052 0.420 0.224
9 O 0.052 0.827 0.632
10 O 0.305 0.173 0.724
11 O 0.305 0.580 0.132
12 O 0.327 0.577 0.750
13 O 0.673 0.423 0.250
14 O 0.695 0.420 0.868
15 O 0.695 0.827 0.276
16 O 0.948 0.173 0.368
17 O 0.948 0.580 0.776
18 O 0.960 0.210 0.750

Summary:
Raw formation energy = -2.25 eV/atom

***

Entry 5:
Compound: NbAlS2Cl
Source: Alexandria
Functional: PBE-GGA
Structure: optimized geometry

a b c (Å): 4.849 4.849 4.932
angles (deg): 90.00 90.00 90.00
Element x y z (fractional)
1 Nb 0.000 0.000 0.000
2 Al 0.500 0.500 0.500
3 S 0.000 0.500 0.000
4 S 0.500 0.000 0.000
5 Cl 0.000 0.000 0.500

Summary:
Raw formation energy = -0.40 eV/atom
Energy above the most stable polymorph in this dataset = 0.00 kcal/mol of atoms

***

Entry 6:
Compound: Ag3HgS
Source: Alexandria
Functional: PBE-GGA
Structure: optimized geometry

a b c (Å): 5.204 5.204 5.204
angles (deg): 90.00 90.00 90.00
Element x y z (fractional)
1 Ag 0.000 0.000 0.500
2 Ag 0.000 0.500 0.000
3 Ag 0.500 0.000 0.000
4 Hg 0.000 0.000 0.000
5 S 0.500 0.500 0.500

Summary:
Raw formation energy = 0.87 eV/atom
Energy above the most stable polymorph in this dataset = 15.54 kcal/mol of atoms

***

Entry 7:
Compound: BaNbAgS4
Source: Alexandria
Functional: PBE-GGA
Structure: optimized geometry

a b c (Å): 6.124 7.898 8.458
angles (deg): 90.00 103.24 90.00
Element x y z (fractional)
1 Ba 0.229 0.250 0.098
2 Ba 0.771 0.750 0.902
3 Nb 0.202 0.750 0.300
4 Nb 0.798 0.250 0.700
5 Ag 0.298 0.250 0.664
6 Ag 0.702 0.750 0.336
7 S 0.032 0.017 0.735
8 S 0.032 0.483 0.735
9 S 0.360 0.750 0.076
10 S 0.463 0.750 0.541
11 S 0.537 0.250 0.459
12 S 0.640 0.250 0.924
13 S 0.968 0.517 0.265
14 S 0.968 0.983 0.265

Summary:
Raw formation energy = -1.05 eV/atom

***

Entry 8:
Compound: ErGa2Au
Source: Alexandria
Functional: PBE-GGA
Structure: optimized geometry

a b c (Å): 8.218 6.613 5.855
angles (deg): 90.00 90.00 90.00
Element x y z (fractional)
1 Er 0.022 0.250 0.161
2 Er 0.478 0.750 0.661
3 Er 0.522 0.250 0.339
4 Er 0.978 0.750 0.839
5 Ga 0.213 0.043 0.579
6 Ga 0.213 0.457 0.579
7 Ga 0.287 0.543 0.079
8 Ga 0.287 0.957 0.079
9 Ga 0.713 0.043 0.921
10 Ga 0.713 0.457 0.921
11 Ga 0.787 0.543 0.421
12 Ga 0.787 0.957 0.421
13 Au 0.058 0.750 0.332
14 Au 0.442 0.250 0.832
15 Au 0.558 0.750 0.168
16 Au 0.942 0.250 0.668

Summary:
E_form = -560.8 meV/atom

***

Number 1: spin magnetization 0.000 Bohr magnetons per cell, V 20.85 Å³/atom. Number 2: spin magnetization 0.000 Bohr magnetons per cell, V 20.07 Å³/atom. Number 3: spin magnetization 0.092 Bohr magnetons per cell, V 15.34 Å³/atom. Number 4: spin magnetization 2.316 Bohr magnetons per cell, V 17.19 Å³/atom. Number 5: spin magnetization 0.000 Bohr magnetons per cell, V 23.19 Å³/atom. Number 6: spin magnetization 0.000 Bohr magnetons per cell, V 28.19 Å³/atom. Number 7: spin magnetization 0.000 Bohr magnetons per cell, V 28.44 Å³/atom. Number 8: spin magnetization 0.000 Bohr magnetons per cell, V 19.89 Å³/atom.